The following is a DFT calculation (PBE) of crystalline CaHo4Si4 at its relaxed geometry.

a b c (Å): 9.289 9.289 5.702
angles (deg): 90.00 90.00 90.00
Space group P4_2/n (No. 86, origin choice 2)
Asymmetric unit:
Ca 0.250 0.250 0.250
Ho 0.107 0.635 0.128
Si 0.050 0.589 0.636

Values from the calculation:
Density ... 5482 kg/m³
Raw formation energy ... -492 meV per atom
Crystal system ... tetragonal
Raw total energy ... -5.16 eV per atom